An optimized crystal structure of Zr2ScZn, computed with GGA-PBEsol.

Summary:
energy relative to the elements	-0.48	eV/f.u.
DFT total energy	-53.69	eV/cell

Cell lengths 10.825, 3.171, 5.189 Å; angles 90.00, 115.65, 90.00 degrees
Space group Cm (No. 8)
Symmetry-distinct sites (fractional):
Zr 0.000 0.000 0.000 [2 per cell]
Zr 0.229 0.000 0.829 [2 per cell]
Sc 0.453 0.000 0.456 [2 per cell]
Zn 0.223 0.500 0.363 [2 per cell]

An optimized crystal structure of K2TcMo, computed with GGA-PBEsol.

Summary:
energy relative to the elements	5.93	eV/f.u.
DFT total energy	-58.11	eV/cell

Cell lengths 2.7762, 2.7762, 36.2357 Å; angles 90.00, 90.00, 120.00 degrees
Space group R-3m (No. 166, hexagonal axes)
Symmetry-distinct sites (fractional):
K 0.0000 0.0000 0.2471 [6 per cell]
Tc 0.0000 0.0000 0.5000 [3 per cell]
Mo 0.0000 0.0000 0.0000 [3 per cell]

An optimized crystal structure of LaMgRe, computed with GGA-PBEsol.

Summary:
energy relative to the elements	1.64	eV/f.u.
DFT total energy	-18.76	eV/cell

Cell lengths 5.0443, 5.0443, 2.8435 Å; angles 90.00, 90.00, 120.00 degrees
Space group P3m1 (No. 156)
Symmetry-distinct sites (fractional):
La 0.0000 0.0000 0.0000 [1 per cell]
Mg 0.6667 0.3333 0.4462 [1 per cell]
Re 0.3333 0.6667 0.5532 [1 per cell]

An optimized crystal structure of BaHgAs2, computed with GGA-PBEsol.

Summary:
energy relative to the elements	-1.52	eV/f.u.
DFT total energy	-57.80	eV/cell

Cell lengths 8.050, 8.050, 6.675 Å; angles 90.00, 90.00, 90.00 degrees
Space group I-42d (No. 122)
Symmetry-distinct sites (fractional):
Ba 0.000 0.000 0.000 [4 per cell]
Hg 0.000 0.000 0.500 [4 per cell]
As 0.192 0.250 0.625 [8 per cell]

An optimized crystal structure of LiCu2Pt, computed with GGA-PBEsol.

Summary:
energy relative to the elements	-0.84	eV/f.u.
DFT total energy	-36.87	eV/cell

Cell lengths 8.603, 2.733, 4.367 Å; angles 90.00, 103.29, 90.00 degrees
Space group Cm (No. 8)
Symmetry-distinct sites (fractional):
Li 0.000 0.000 0.000 [2 per cell]
Cu 0.254 0.500 0.255 [2 per cell]
Cu 0.494 0.000 0.494 [2 per cell]
Pt 0.244 0.000 0.749 [2 per cell]

An optimized crystal structure of Cd2SeCl, computed with GGA-PBEsol.

Summary:
DFT total energy	-17.97	eV/cell

Cell lengths 3.972, 5.274, 8.700 Å; angles 90.00, 90.00, 90.00 degrees
Space group Cmm2 (No. 35)
Symmetry-distinct sites (fractional):
Cd 0.000 0.000 0.000 [2 per cell]
Cd 0.000 0.500 0.258 [2 per cell]
Se 0.000 0.000 0.468 [2 per cell]
Cl 0.000 0.500 0.810 [2 per cell]

An optimized crystal structure of ZnTe2RuI, computed with GGA-PBEsol.

Summary:
DFT total energy	-17.94	eV/cell

Cell lengths 5.063, 5.063, 5.572 Å; angles 90.00, 90.00, 90.00 degrees
Space group P4/mmm (No. 123)
Symmetry-distinct sites (fractional):
Zn 0.000 0.000 0.000 [1 per cell]
Te 0.000 0.500 0.500 [2 per cell]
Ru 0.500 0.500 0.500 [1 per cell]
I 0.500 0.500 0.000 [1 per cell]

An optimized crystal structure of PbSN3, computed with GGA-PBEsol.

Summary:
DFT total energy	-27.02	eV/cell

Cell lengths 3.730, 3.730, 3.730 Å; angles 90.00, 90.00, 90.00 degrees
Space group Pm-3m (No. 221)
Symmetry-distinct sites (fractional):
Pb 0.000 0.000 0.000 [1 per cell]
S 0.500 0.500 0.500 [1 per cell]
N 0.000 0.500 0.500 [3 per cell]

Q: The lowest DFT total energy belongs to which entry?
A: K2TcMo

Q: The lowest DFT total energy belongs to which entry?
A: K2TcMo

Q: What is the DFT total energy in the first record?
A: -53.69 eV/cell

Q: DFT total energy of number 8 (PbSN3)?
A: -27.02 eV/cell